# 1
{"formula": "CaBeSb2", "functional": "PBE", "state": "relaxed", "magmom_total_mub_per_cell": 0.00, "dos_ef_per_ev_atom": 0.241, "spacegroup": "R3m (160)", "e_form_raw_ev_per_atom": -0.12, "density_g_cm3": 5.05, "e_tot_ev_per_fu": -14.464, "lattice_angstrom": [[-5.5812, -3.2334, 5.0410], [-2.3868, -3.5439, 6.9829], [-4.2708, -0.3001, 6.9776]], "species": ["Sb", "Be", "Ca", "Sb"], "fractional_positions": [[0.9812, 0.9812, 0.9812], [0.5868, 0.5868, 0.5868], [0.7464, 0.7464, 0.7464], [0.1856, 0.1856, 0.1856]]}

---

# 2
{"formula": "CaBe2Sb", "functional": "PBE", "state": "relaxed", "magmom_total_mub_per_cell": 0.00, "dos_ef_per_ev_atom": 0.386, "spacegroup": "P4/mmm (123)", "e_form_raw_ev_per_atom": 0.25, "density_g_cm3": 4.10, "e_tot_ev_per_fu": -12.558, "lattice_angstrom": [[-2.3833, -1.0315, 3.3392], [0.4644, -4.0994, -0.9349], [3.3326, -0.1541, 2.3310]], "species": ["Be", "Ca", "Be", "Sb"], "fractional_positions": [[0.5000, 0.5000, 0.0000], [0.5000, 0.0000, 0.5000], [0.0000, 0.0000, 0.0000], [0.0000, 0.5000, 0.5000]]}

---

# 3
{"formula": "CaBeSb2", "functional": "PBE", "state": "relaxed", "magmom_total_mub_per_cell": 0.00, "dos_ef_per_ev_atom": 0.598, "spacegroup": "Pmm2 (25)", "e_form_raw_ev_per_atom": 0.08, "density_g_cm3": 4.72, "e_tot_ev_per_fu": -13.635, "lattice_angstrom": [[3.3475, 0.0000, 0.0000], [0.0000, 4.7951, 0.0000], [0.0000, 0.0000, 6.4106]], "species": ["Sb", "Ca", "Sb", "Be"], "fractional_positions": [[0.0000, 0.0000, 0.9042], [0.5000, 0.5000, 0.7836], [0.5000, 0.5000, 0.3071], [0.0000, 0.0000, 0.5051]]}

---

# 4
{"formula": "CaBe2Sb", "functional": "PBE", "state": "relaxed", "magmom_total_mub_per_cell": 0.00, "dos_ef_per_ev_atom": 0.354, "spacegroup": "R3m (160)", "e_form_raw_ev_per_atom": -0.07, "density_g_cm3": 3.87, "e_tot_ev_per_fu": -13.846, "lattice_angstrom": [[-1.3048, -2.5024, -2.6658], [2.0578, -3.1802, -0.8501], [-2.6288, -4.8895, 3.0432]], "species": ["Ca", "Be", "Be", "Sb"], "fractional_positions": [[0.4797, 0.4797, 0.5616], [0.0333, 0.0333, 0.9003], [0.7003, 0.7003, 0.8996], [0.2867, 0.2867, 0.1384]]}

---

# 5
{"formula": "CaBe2Sb", "functional": "PBE", "state": "relaxed", "magmom_total_mub_per_cell": 0.00, "dos_ef_per_ev_atom": 0.514, "spacegroup": "P4/mmm (123)", "e_form_raw_ev_per_atom": 0.29, "density_g_cm3": 3.82, "e_tot_ev_per_fu": -12.422, "lattice_angstrom": [[3.4879, 0.0000, 0.0000], [0.0000, 3.4949, 0.0000], [0.0000, 0.0000, 6.4162]], "species": ["Ca", "Be", "Sb", "Be"], "fractional_positions": [[0.5000, 0.5000, 0.2500], [0.0000, 0.0000, 0.5775], [0.5000, 0.5000, 0.7500], [0.0000, 0.0000, 0.9225]]}

---

# 6
{"formula": "CaBe2Sb", "functional": "PBE", "state": "relaxed", "magmom_total_mub_per_cell": 0.00, "dos_ef_per_ev_atom": 0.344, "spacegroup": "C2/m (12)", "e_form_raw_ev_per_atom": 0.21, "density_g_cm3": 3.67, "e_tot_ev_per_fu": -12.721, "lattice_angstrom": [[3.9965, -0.1031, 0.0468], [1.9010, 3.5170, 0.0468], [2.0439, 1.1832, 5.7406]], "species": ["Be", "Ca", "Be", "Sb"], "fractional_positions": [[0.9639, 0.9639, 0.0891], [0.7500, 0.7500, 0.7500], [0.5361, 0.5361, 0.4109], [0.2500, 0.2500, 0.2500]]}

---

# 7
{"formula": "CaBe2Sb", "functional": "PBE", "state": "relaxed", "magmom_total_mub_per_cell": 0.00, "dos_ef_per_ev_atom": 0.353, "spacegroup": "Imm2 (44)", "e_form_raw_ev_per_atom": 0.06, "density_g_cm3": 3.62, "e_tot_ev_per_fu": -13.326, "lattice_angstrom": [[6.2649, 0.0116, 0.0022], [3.9260, 4.8821, -0.0022], [-5.1084, -2.4198, 2.7013]], "species": ["Sb", "Ca", "Be", "Be"], "fractional_positions": [[0.7403, 0.2403, 0.5000], [0.4797, 0.4797, 0.0000], [0.1011, 0.1011, 0.0000], [0.1790, 0.6790, 0.5000]]}

---

# 8
{"formula": "CaBeSb2", "functional": "PBE", "state": "relaxed", "magmom_total_mub_per_cell": 0.00, "dos_ef_per_ev_atom": 0.332, "spacegroup": "I-42d (122)", "e_form_raw_ev_per_atom": -0.13, "density_g_cm3": 3.99, "e_tot_ev_per_fu": -14.494, "lattice_angstrom": [[5.6853, 0.0000, 0.0000], [0.0000, 5.6853, 0.0000], [2.8426, 2.8426, 7.5338]], "species": ["Sb", "Sb", "Be", "Sb", "Sb", "Ca", "Be", "Ca"], "fractional_positions": [[0.8750, 0.7373, 0.7500], [0.2627, 0.6250, 0.2500], [0.5000, 0.5000, 0.0000], [0.3750, 0.5127, 0.7500], [0.4873, 0.1250, 0.2500], [0.0000, 0.0000, 0.0000], [0.2500, 0.7500, 0.5000], [0.7500, 0.2500, 0.5000]]}

---

# 9
{"formula": "CaBeSb2", "functional": "PBE", "state": "relaxed", "magmom_total_mub_per_cell": 0.00, "dos_ef_per_ev_atom": 0.885, "spacegroup": "P4mm (99)", "e_form_raw_ev_per_atom": 0.05, "density_g_cm3": 4.81, "e_tot_ev_per_fu": -13.775, "lattice_angstrom": [[-0.8718, 1.8815, 3.2747], [-3.3898, 1.0921, -1.5299], [-2.8909, -5.5687, 2.4299]], "species": ["Sb", "Be", "Ca", "Sb"], "fractional_positions": [[0.5000, 0.5000, 0.3224], [0.0000, 0.0000, 0.3841], [0.5000, 0.5000, 0.7770], [0.0000, 0.0000, 0.0166]]}

---

# 10
{"formula": "CaBe2Sb", "functional": "PBE", "state": "relaxed", "magmom_total_mub_per_cell": 0.00, "dos_ef_per_ev_atom": 0.543, "spacegroup": "I-4m2 (119)", "e_form_raw_ev_per_atom": 0.37, "density_g_cm3": 3.93, "e_tot_ev_per_fu": -12.085, "lattice_angstrom": [[5.4171, -0.0003, 0.0000], [2.3587, 4.8766, 0.0000], [-3.8879, -2.4381, 2.8783]], "species": ["Be", "Sb", "Ca", "Be"], "fractional_positions": [[0.0000, 0.0000, 0.0000], [0.7500, 0.2500, 0.5000], [0.5000, 0.5000, 0.0000], [0.2500, 0.7500, 0.5000]]}

---

# 11
{"formula": "CaBe2Sb", "functional": "PBE", "state": "relaxed", "magmom_total_mub_per_cell": 0.00, "dos_ef_per_ev_atom": 0.699, "spacegroup": "F-43m (216)", "e_form_raw_ev_per_atom": 0.51, "density_g_cm3": 3.89, "e_tot_ev_per_fu": -11.550, "lattice_angstrom": [[4.7712, 0.0000, 0.0000], [2.3856, 4.1320, 0.0000], [2.3856, 1.3773, 3.8956]], "species": ["Sb", "Ca", "Be", "Be"], "fractional_positions": [[0.2500, 0.2500, 0.2500], [0.5000, 0.5000, 0.5000], [0.0000, 0.0000, 0.0000], [0.7500, 0.7500, 0.7500]]}

---

# 12
{"formula": "CaBeSb2", "functional": "PBE", "state": "relaxed", "magmom_total_mub_per_cell": 0.00, "dos_ef_per_ev_atom": 0.297, "spacegroup": "Cm (8)", "e_form_raw_ev_per_atom": -0.14, "density_g_cm3": 4.10, "e_tot_ev_per_fu": -14.539, "lattice_angstrom": [[-4.8121, 6.2586, 1.7069], [-7.0558, 3.9052, -0.4525], [-3.4897, 0.1610, 3.4504]], "species": ["Sb", "Ca", "Be", "Sb"], "fractional_positions": [[0.7993, 0.7993, 0.6545], [0.2178, 0.2178, 0.3150], [0.4300, 0.4300, 0.3917], [0.0529, 0.0529, 0.1388]]}

---

# 13
{"formula": "CaBeSb2", "functional": "PBE", "state": "relaxed", "magmom_total_mub_per_cell": 0.00, "dos_ef_per_ev_atom": 0.705, "spacegroup": "Pm (6)", "e_form_raw_ev_per_atom": -0.07, "density_g_cm3": 4.64, "e_tot_ev_per_fu": -14.265, "lattice_angstrom": [[-0.3023, 2.9472, 3.4897], [-2.4680, -1.9946, 1.4707], [3.4094, -4.3050, 3.9311]], "species": ["Ca", "Sb", "Be", "Sb"], "fractional_positions": [[0.5000, 0.6890, 0.7506], [0.5000, 0.3954, 0.3207], [0.0000, 0.3029, 0.5174], [0.0000, 0.1128, 0.9113]]}

---

# 14
{"formula": "CaBeSb2", "functional": "PBE", "state": "relaxed", "magmom_total_mub_per_cell": 0.00, "dos_ef_per_ev_atom": 0.346, "spacegroup": "C2/m (12)", "e_form_raw_ev_per_atom": -0.19, "density_g_cm3": 4.94, "e_tot_ev_per_fu": -14.721, "lattice_angstrom": [[4.1758, 0.0024, -0.0074], [0.6350, 4.1272, -0.0074], [2.5926, 2.2255, 5.7006]], "species": ["Ca", "Be", "Sb", "Sb"], "fractional_positions": [[0.2500, 0.2500, 0.2500], [0.7500, 0.7500, 0.7500], [0.9929, 0.9929, 0.9411], [0.5071, 0.5071, 0.5589]]}

---

# 15
{"formula": "CaBeSb2", "functional": "PBE", "state": "relaxed", "magmom_total_mub_per_cell": 0.00, "dos_ef_per_ev_atom": 0.321, "spacegroup": "Pmmm (47)", "e_form_raw_ev_per_atom": -0.03, "density_g_cm3": 5.20, "e_tot_ev_per_fu": -14.102, "lattice_angstrom": [[-1.7692, 1.4719, -3.9787], [-0.3799, -4.5124, -1.5004], [-3.9168, -0.2221, 1.6596]], "species": ["Ca", "Be", "Sb", "Sb"], "fractional_positions": [[0.0000, 0.5000, 0.5000], [0.5000, 0.0000, 0.5000], [0.5000, 0.5000, 0.0000], [0.0000, 0.0000, 0.0000]]}

---

# 16
{"formula": "CaBeSb", "functional": "PBE", "state": "relaxed", "polymorph_energy_mev_per_atom": 808.8, "magmom_total_mub_per_cell": 0.00, "dos_ef_per_ev_atom": 0.818, "spacegroup": "F-43m (216)", "e_form_raw_ev_per_atom": 0.36, "density_g_cm3": 3.45, "e_tot_ev_per_fu": -8.774, "lattice_angstrom": [[-3.0991, 2.8003, 2.5283], [-4.5813, 0.6081, -1.5748], [-3.7086, -2.0430, 2.4312]], "species": ["Ca", "Sb", "Be"], "fractional_positions": [[0.7500, 0.7500, 0.7500], [0.0000, 0.0000, 0.0000], [0.5000, 0.5000, 0.5000]]}

---

# 17
{"formula": "CaBe2Sb", "functional": "PBE", "state": "relaxed", "magmom_total_mub_per_cell": 0.00, "dos_ef_per_ev_atom": 0.359, "spacegroup": "I4/mmm (139)", "e_form_raw_ev_per_atom": 0.35, "density_g_cm3": 3.98, "e_tot_ev_per_fu": -12.189, "lattice_angstrom": [[-4.2633, -2.7471, -0.1962], [0.2985, -3.3957, 3.7605], [0.6286, 5.0356, 0.0970]], "species": ["Be", "Ca", "Sb", "Be"], "fractional_positions": [[0.5000, 0.5000, 0.0000], [0.2500, 0.7500, 0.5000], [0.7500, 0.2500, 0.5000], [0.0000, 0.0000, 0.0000]]}

---

# 18
{"formula": "CaBe2Sb", "functional": "PBE", "state": "relaxed", "magmom_total_mub_per_cell": 0.00, "dos_ef_per_ev_atom": 0.222, "spacegroup": "Pmmm (47)", "e_form_raw_ev_per_atom": 0.03, "density_g_cm3": 3.46, "e_tot_ev_per_fu": -13.448, "lattice_angstrom": [[4.0888, 0.0000, 0.0000], [0.0000, 4.4451, 0.0055], [0.0000, -0.0056, 4.7544]], "species": ["Be", "Sb", "Ca", "Be"], "fractional_positions": [[0.0000, 0.7501, 0.0317], [0.5000, 0.7500, 0.7500], [0.5000, 0.2500, 0.2500], [0.0000, 0.7499, 0.4683]]}

---

# 19
{"formula": "CaBe2Sb", "functional": "PBE", "state": "relaxed", "magmom_total_mub_per_cell": 0.00, "dos_ef_per_ev_atom": 0.433, "spacegroup": "Pmm2 (25)", "e_form_raw_ev_per_atom": 0.25, "density_g_cm3": 3.97, "e_tot_ev_per_fu": -12.565, "lattice_angstrom": [[3.1979, 0.0000, 0.0000], [0.0000, 3.5181, 0.0000], [0.0000, 0.0000, 6.6836]], "species": ["Sb", "Be", "Be", "Ca"], "fractional_positions": [[0.5000, 0.5000, 0.8088], [0.5000, 0.5000, 0.1712], [0.0000, 0.0000, 0.0466], [0.0000, 0.0000, 0.4734]]}

---

# 20
{"formula": "CaBeSb", "functional": "PBE", "state": "relaxed", "polymorph_energy_mev_per_atom": 307.5, "magmom_total_mub_per_cell": 0.00, "dos_ef_per_ev_atom": 0.599, "spacegroup": "F-43m (216)", "e_form_raw_ev_per_atom": -0.14, "density_g_cm3": 4.31, "e_tot_ev_per_fu": -10.278, "lattice_angstrom": [[4.5328, 0.0000, 0.0000], [2.2664, 3.9255, 0.0000], [2.2664, 1.3085, 3.7010]], "species": ["Be", "Sb", "Ca"], "fractional_positions": [[0.7500, 0.7500, 0.7500], [0.5000, 0.5000, 0.5000], [0.0000, 0.0000, 0.0000]]}